Arrangement i

# CaCd6Sn2 PBE-GGA optimized geometry
# - Magnetic moment: 0.00 μB per formula unit
# - Fermi-level density of states: 3.4 states/eV per cell
data_CaCd6Sn2
_cell_length_a 15.177
_cell_length_b 8.599
_cell_length_c 3.572
_cell_angle_alpha 90.00
_cell_angle_beta 95.89
_cell_angle_gamma 90.00
_space_group_name_H-M_alt 'C 1 2/m 1'
_space_group_IT_number 12
_space_group_name_Hall '-C 2y'
loop_
_atom_site_label
_atom_site_fract_x
_atom_site_fract_y
_atom_site_fract_z
Ca1 0.000 0.000 0.000
Cd1 0.000 0.328 0.500
Cd2 0.171 0.170 0.605
Sn1 0.153 0.500 0.085

---

Arrangement ii

# CaCd6Sn2 PBE-GGA optimized geometry
# - Magnetic moment: 0.00 μB per formula unit
# - Fermi-level density of states: 6.7 states/eV per cell
data_CaCd6Sn2
_cell_length_a 6.863
_cell_length_b 14.787
_cell_length_c 4.725
_cell_angle_alpha 90.00
_cell_angle_beta 109.81
_cell_angle_gamma 90.00
_space_group_name_H-M_alt 'C 1 2/m 1'
_space_group_IT_number 12
_space_group_name_Hall '-C 2y'
loop_
_atom_site_label
_atom_site_fract_x
_atom_site_fract_y
_atom_site_fract_z
Ca1 0.000 0.000 0.000
Cd1 0.139 0.500 0.318
Cd2 0.164 0.335 0.823
Sn1 0.000 0.154 0.500

---

Preferred: arrangement ii; penalty for the next structure: 19 meV per atom.

---

Arrangement i

# Ca2CdSn PBE-GGA optimized geometry
# - Magnetic moment: 0.00 μB per formula unit
# - Fermi-level density of states: 17.2 states/eV per cell
data_Ca2CdSn
_cell_length_a 4.933
_cell_length_b 4.933
_cell_length_c 21.668
_cell_angle_alpha 90.00
_cell_angle_beta 90.00
_cell_angle_gamma 90.00
_space_group_name_H-M_alt 'I -4 2 d'
_space_group_IT_number 122
_space_group_name_Hall 'I -4 2bw'
loop_
_atom_site_label
_atom_site_fract_x
_atom_site_fract_y
_atom_site_fract_z
Ca1 0.245 0.250 0.125
Cd1 0.000 0.000 0.500
Sn1 0.000 0.000 0.000

---

Arrangement ii

# Ca2CdSn PBE-GGA optimized geometry
# - Magnetic moment: 0.00 μB per formula unit
# - Fermi-level density of states: 0.9 states/eV per cell
data_Ca2CdSn
_cell_length_a 7.678
_cell_length_b 7.678
_cell_length_c 7.678
_cell_angle_alpha 90.00
_cell_angle_beta 90.00
_cell_angle_gamma 90.00
_space_group_name_H-M_alt 'F m -3 m'
_space_group_IT_number 225
_space_group_name_Hall '-F 4 2 3'
loop_
_atom_site_label
_atom_site_fract_x
_atom_site_fract_y
_atom_site_fract_z
Ca1 0.250 0.250 0.250
Cd1 0.000 0.000 0.000
Sn1 0.000 0.000 0.500

---

Arrangement iii

# Ca2CdSn PBE-GGA optimized geometry
# - Magnetic moment: 0.00 μB per formula unit
# - Fermi-level density of states: 2.7 states/eV per cell
data_Ca2CdSn
_cell_length_a 5.242
_cell_length_b 5.242
_cell_length_c 4.110
_cell_angle_alpha 90.00
_cell_angle_beta 90.00
_cell_angle_gamma 90.00
_space_group_name_H-M_alt 'P 4/m m m'
_space_group_IT_number 123
_space_group_name_Hall '-P 4 2'
loop_
_atom_site_label
_atom_site_fract_x
_atom_site_fract_y
_atom_site_fract_z
Ca1 0.000 0.500 0.000
Cd1 0.000 0.000 0.500
Sn1 0.500 0.500 0.500

---

Arrangement iv

# Ca2CdSn PBE-GGA optimized geometry
# - Magnetic moment: 0.00 μB per formula unit
# - Fermi-level density of states: 11.2 states/eV per cell
data_Ca2CdSn
_cell_length_a 3.6910
_cell_length_b 3.6910
_cell_length_c 33.9966
_cell_angle_alpha 90.00
_cell_angle_beta 90.00
_cell_angle_gamma 120.00
_space_group_name_H-M_alt 'R -3 m'
_space_group_IT_number 166
_space_group_name_Hall '-R 3 2"'
loop_
_atom_site_label
_atom_site_fract_x
_atom_site_fract_y
_atom_site_fract_z
Ca1 0.0000 0.0000 0.0930
Cd1 0.0000 0.0000 0.5000
Sn1 0.0000 0.0000 0.0000

---

Preferred: arrangement ii; penalty for the next structure: 42 meV per atom.

---

Arrangement i

# SrCa6Cd2 PBE-GGA optimized geometry
# - Magnetic moment: 0.00 μB per formula unit
# - Fermi-level density of states: 18.0 states/eV per cell
data_SrCa6Cd2
_cell_length_a 13.685
_cell_length_b 3.967
_cell_length_c 13.151
_cell_angle_alpha 90.00
_cell_angle_beta 109.84
_cell_angle_gamma 90.00
_space_group_name_H-M_alt 'C 1 2/m 1'
_space_group_IT_number 12
_space_group_name_Hall '-C 2y'
loop_
_atom_site_label
_atom_site_fract_x
_atom_site_fract_y
_atom_site_fract_z
Sr1 0.000 0.000 0.000
Ca1 0.030 0.000 0.326
Ca2 0.177 0.500 0.585
Ca3 0.194 0.500 0.871
Cd1 0.163 0.500 0.222

---

Arrangement ii

# SrCa6Cd2 PBE-GGA optimized geometry
# - Magnetic moment: 0.00 μB per formula unit
# - Fermi-level density of states: 8.3 states/eV per cell
data_SrCa6Cd2
_cell_length_a 5.261
_cell_length_b 5.261
_cell_length_c 12.555
_cell_angle_alpha 90.00
_cell_angle_beta 90.00
_cell_angle_gamma 90.00
_space_group_name_H-M_alt 'P 4/m m m'
_space_group_IT_number 123
_space_group_name_Hall '-P 4 2'
loop_
_atom_site_label
_atom_site_fract_x
_atom_site_fract_y
_atom_site_fract_z
Sr1 0.000 0.000 0.000
Ca1 0.000 0.000 0.500
Ca2 0.000 0.500 0.266
Ca3 0.500 0.500 0.500
Cd1 0.500 0.500 0.112

---

Preferred: arrangement i; penalty for the next structure: 41 meV per atom.

---

Arrangement i

# Sr6Ca2Cd PBE-GGA optimized geometry
# - Magnetic moment: 0.00 μB per formula unit
# - Fermi-level density of states: 27.0 states/eV per cell
data_Sr6Ca2Cd
_cell_length_a 4.238
_cell_length_b 18.805
_cell_length_c 10.867
_cell_angle_alpha 90.00
_cell_angle_beta 90.00
_cell_angle_gamma 90.00
_space_group_name_H-M_alt 'A m m 2'
_space_group_IT_number 38
_space_group_name_Hall 'A 2 -2'
loop_
_atom_site_label
_atom_site_fract_x
_atom_site_fract_y
_atom_site_fract_z
Sr1 0.000 0.000 0.000
Sr2 0.000 0.128 0.616
Sr3 0.500 0.000 0.365
Sr4 0.500 0.189 0.932
Ca1 0.000 0.167 0.244
Cd1 0.500 0.000 0.744

---

Arrangement ii

# Sr6Ca2Cd PBE-GGA optimized geometry
# - Magnetic moment: 0.00 μB per formula unit
# - Fermi-level density of states: 22.3 states/eV per cell
data_Sr6Ca2Cd
_cell_length_a 18.598
_cell_length_b 11.615
_cell_length_c 4.101
_cell_angle_alpha 90.00
_cell_angle_beta 102.71
_cell_angle_gamma 90.00
_space_group_name_H-M_alt 'C 1 2/m 1'
_space_group_IT_number 12
_space_group_name_Hall '-C 2y'
loop_
_atom_site_label
_atom_site_fract_x
_atom_site_fract_y
_atom_site_fract_z
Sr1 0.000 0.204 0.000
Sr2 0.172 0.339 0.673
Ca1 0.155 0.000 0.653
Cd1 0.000 0.500 0.500

---

Preferred: arrangement i; penalty for the next structure: 67 meV per atom.

---

Arrangement i

# SrCaCd PBE-GGA optimized geometry
# - Magnetic moment: 0.00 μB per formula unit
# - Fermi-level density of states: 3.5 states/eV per cell
data_SrCaCd
_cell_length_a 5.6140
_cell_length_b 5.6140
_cell_length_c 4.1650
_cell_angle_alpha 90.00
_cell_angle_beta 90.00
_cell_angle_gamma 120.00
_space_group_name_H-M_alt 'P 3 m 1'
_space_group_IT_number 156
_space_group_name_Hall 'P 3 -2"'
loop_
_atom_site_label
_atom_site_fract_x
_atom_site_fract_y
_atom_site_fract_z
Sr1 0.0000 0.0000 0.0000
Ca1 0.6667 0.3333 0.4988
Cd1 0.3333 0.6667 0.5072

---

Arrangement ii

# SrCaCd PBE-GGA optimized geometry
# - Magnetic moment: 0.00 μB per formula unit
# - Fermi-level density of states: 16.3 states/eV per cell
data_SrCaCd
_cell_length_a 8.046
_cell_length_b 8.046
_cell_length_c 8.046
_cell_angle_alpha 90.00
_cell_angle_beta 90.00
_cell_angle_gamma 90.00
_space_group_name_H-M_alt 'F -4 3 m'
_space_group_IT_number 216
_space_group_name_Hall 'F -4 2 3'
loop_
_atom_site_label
_atom_site_fract_x
_atom_site_fract_y
_atom_site_fract_z
Sr1 0.000 0.000 0.000
Ca1 0.250 0.250 0.750
Cd1 0.250 0.250 0.250

---

Preferred: arrangement i; penalty for the next structure: 450 meV per atom.